The following is a DFT calculation (PBE-GGA) of a relaxed structure of AlCo2Br2.

Calculated values
For the energy, the calculation gives -3.934 eV/atom. For the uncorrected formation energy, the calculation gives 0.33 eV/atom. As for the space-group type: No. 127.

Lattice parameters (Å, degrees): 6.552 6.552 4.581 90.00 90.00 90.00
Last column: magnetic moment on the atom in μB.
Atoms (fractional coordinates):
1 Br 0.687 0.187 0.500  0.07
2 Br 0.313 0.813 0.500  0.07
3 Br 0.813 0.687 0.500  0.07
4 Br 0.187 0.313 0.500  0.07
5 Co 0.374 0.874 0.000  1.48
6 Co 0.126 0.374 0.000  1.48
7 Co 0.626 0.126 0.000  1.48
8 Co 0.874 0.626 0.000  1.48
9 Al 0.000 0.000 0.000  -0.02
10 Al 0.500 0.500 0.000  -0.02

---

The following is a DFT calculation (PBE-GGA) of a relaxed structure of AlCo2Br.

Calculated values
For the energy, the calculation gives -4.716 eV/atom. For the uncorrected formation energy, the calculation gives 0.19 eV/atom. As for the space-group type: No. 6.

Lattice parameters (Å, degrees): 3.221 3.519 6.455 89.91 90.00 90.00
Last column: magnetic moment on the atom in μB.
Atoms (fractional coordinates):
1 Al 0.000 0.499 0.436  -0.04
2 Co 0.500 0.500 0.146  1.51
3 Co 0.000 0.000 0.181  1.47
4 Br 0.500 0.501 0.737  -0.01

---

The following is a DFT calculation (PBE-GGA) of a relaxed structure of AlCoBr3.

Calculated values
For the energy, the calculation gives -2.937 eV/atom. For the uncorrected formation energy, the calculation gives 0.24 eV/atom. As for the space-group type: No. 221.

Lattice parameters (Å, degrees): 5.151 5.151 5.151 90.00 90.00 90.00
Last column: magnetic moment on the atom in μB.
Atoms (fractional coordinates):
1 Br 0.500 0.000 0.000  0.01
2 Br 0.000 0.500 0.000  0.01
3 Br 0.000 0.000 0.500  0.01
4 Al 0.000 0.000 0.000  -0.01
5 Co 0.500 0.500 0.500  2.42

---

> What is the formula in the second record?

AlCo2Br

---

> What is the formula in the third record?

AlCoBr3

---

> Which formula does entry 2 have?

AlCo2Br

---

> Which of these has the lowest energy?

AlCo2Br